## ThPaCo5As2 (PBE)

Data for a geometry-optimized ThPaCo5As2 structure.

Lattice parameters (Å, degrees): 3.7539 3.7539 10.8717 90.00 90.00 90.00
Fractional coordinates of all 9 atoms:
Th: 0.0000 0.0000 0.0000
Pa: 0.0000 0.0000 0.5000
Co: 0.0000 0.5000 0.3314
Co: 0.0000 0.5000 0.6686
Co: 0.5000 0.0000 0.3314
Co: 0.5000 0.0000 0.6686
Co: 0.5000 0.5000 0.0000
As: 0.5000 0.5000 0.2093
As: 0.5000 0.5000 0.7907

The space group is P4/mmm, No. 123. For the density of states at the Fermi level, the calculation gives 0.58 states/eV/atom. The value obtained for the calculated volume is 17.0 Å³/atom. The formation energy is -2.85 eV/f.u.



## Pa2TiCo4As3 (PBE)

Data for a geometry-optimized Pa2TiCo4As3 structure.

Lattice parameters (Å, degrees): 3.9851 3.9851 9.8526 90.00 90.00 90.00
Fractional coordinates of all 10 atoms:
Pa: 0.0000 0.5000 0.2434
Pa: 0.5000 0.0000 0.7566
Ti: 0.0000 0.0000 0.5000
Co: 0.0000 0.0000 0.0000
Co: 0.0000 0.5000 0.6365
Co: 0.5000 0.0000 0.3635
Co: 0.5000 0.5000 0.0000
As: 0.0000 0.5000 0.8704
As: 0.5000 0.0000 0.1296
As: 0.5000 0.5000 0.5000

The space group is P-4m2, No. 115. For the density of states at the Fermi level, the calculation gives 0.24 states/eV/atom. The value obtained for the calculated volume is 15.6 Å³/atom. The formation energy is -7.10 eV/f.u.



## PaTiCo5As2 (PBE)

Data for a geometry-optimized PaTiCo5As2 structure.

Lattice parameters (Å, degrees): 3.7174 3.7174 10.3032 90.00 90.00 90.00
Fractional coordinates of all 9 atoms:
Pa: 0.0000 0.0000 0.0000
Ti: 0.0000 0.0000 0.5000
Co: 0.0000 0.5000 0.3462
Co: 0.0000 0.5000 0.6538
Co: 0.5000 0.0000 0.3462
Co: 0.5000 0.0000 0.6538
Co: 0.5000 0.5000 0.0000
As: 0.5000 0.5000 0.2202
As: 0.5000 0.5000 0.7798

The space group is P4/mmm, No. 123. For the density of states at the Fermi level, the calculation gives 1.18 states/eV/atom. The value obtained for the calculated volume is 15.8 Å³/atom. The formation energy is -1.10 eV/f.u.